VASP calculation (GGA-PBE) on an optimized crystal structure of ScAgOs2Rh.

Cell: 4.773 4.773 4.772 Å, 90.00 90.00 90.00°
Fractional positions:
Sc 0.000 0.000 0.000
Ag 0.500 0.500 0.500
Os 0.000 0.500 0.500
Os 0.500 0.000 0.500
Rh 0.500 0.500 0.000

Formation energy from the elements: 2016 meV per atom
SG: No. 123
Density of states at the Fermi level: 7.99 states/eV/cell